The following is a DFT calculation (GGA-PBE) of an optimized crystal structure of EuCu9Sn4.

Structure (CIF):
```
data_EuCu9Sn4
_chemical_formula_sum 'Eu4 Cu36 Sn16'
_space_group_name_H-M_alt 'I 4/m c m'
_space_group_IT_number 140
_space_group_name_Hall '-I 4 2c'
_cell_length_a 8.694
_cell_length_b 8.694
_cell_length_c 12.491
_cell_angle_alpha 90.00
_cell_angle_beta 90.00
_cell_angle_gamma 90.00
loop_
_atom_site_label
_atom_site_type_symbol
_atom_site_fract_x
_atom_site_fract_y
_atom_site_fract_z
Eu1 Eu 0.000 0.000 0.250
Cu1 Cu 0.000 0.500 0.000
Cu2 Cu 0.054 0.201 0.000
Cu3 Cu 0.108 0.392 0.174
Sn1 Sn 0.186 0.314 0.374
```

total moment = 28.04 μB/cell
formation energy = -2.09 eV per formula unit

The following is a DFT calculation (GGA-PBE) of an optimized crystal structure of EuThCuSn.

Structure (CIF):
```
data_EuThCuSn
_chemical_formula_sum 'Eu4 Th4 Cu4 Sn4'
_space_group_name_H-M_alt 'F -4 3 m'
_space_group_IT_number 216
_space_group_name_Hall 'F -4 2 3'
_cell_length_a 7.544
_cell_length_b 7.544
_cell_length_c 7.544
_cell_angle_alpha 90.00
_cell_angle_beta 90.00
_cell_angle_gamma 90.00
loop_
_atom_site_label
_atom_site_type_symbol
_atom_site_fract_x
_atom_site_fract_y
_atom_site_fract_z
Eu1 Eu 0.000 0.000 0.000
Th1 Th 0.000 0.000 0.500
Cu1 Cu 0.250 0.250 0.750
Sn1 Sn 0.250 0.250 0.250
```

total moment = 31.68 μB/cell
formation energy = -1.03 eV per formula unit